Compound: Ga3TeCl
Source: Alexandria via LeMat-Bulk
Functional: PBE-GGA
Structure: optimized geometry

a = 6.049 Å, b = 6.049 Å, c = 6.049 Å
α = 90.00°, β = 90.00°, γ = 90.00°
Fractional coordinates of all 5 atoms:
Ga 0.000 0.500 0.000
Ga 0.000 0.000 0.500
Ga 0.500 0.000 0.000
Cl 0.500 0.500 0.500
Te 0.000 0.000 0.000

Summary:
Its symmetry is Pm-3m, No. 221. The value obtained for the distance to the lowest polymorph of the same formula is 209 meV/atom.

---

Compound: GaTe3Cl
Source: Alexandria via LeMat-Bulk
Functional: PBE-GGA
Structure: optimized geometry

a = 5.374 Å, b = 5.374 Å, c = 5.374 Å
α = 90.00°, β = 90.00°, γ = 90.00°
Fractional coordinates of all 5 atoms:
Cl 0.500 0.500 0.500
Te 0.000 0.500 0.000
Te 0.000 0.000 0.500
Te 0.500 0.000 0.000
Ga 0.000 0.000 0.000

Summary:
Its symmetry is Pm-3m, No. 221. The value obtained for the distance to the lowest polymorph of the same formula is 408 meV/atom.

---

Compound: Ga3Te3Cl
Source: Alexandria via LeMat-Bulk
Functional: PBE-GGA
Structure: optimized geometry

a = 4.142 Å, b = 11.296 Å, c = 19.754 Å
α = 90.00°, β = 90.00°, γ = 90.00°
Fractional coordinates of all 28 atoms:
Cl 0.750 0.526 0.333
Cl 0.250 0.474 0.667
Cl 0.750 0.026 0.167
Cl 0.250 0.974 0.833
Te 0.750 0.271 0.804
Te 0.250 0.171 0.999
Te 0.750 0.329 0.499
Te 0.250 0.729 0.196
Te 0.750 0.771 0.696
Te 0.750 0.413 0.131
Te 0.250 0.087 0.631
Te 0.750 0.829 0.001
Te 0.250 0.229 0.304
Te 0.250 0.587 0.869
Te 0.750 0.913 0.369
Te 0.250 0.671 0.501
Ga 0.750 0.443 0.900
Ga 0.750 0.838 0.136
Ga 0.250 0.174 0.505
Ga 0.250 0.557 0.100
Ga 0.250 0.057 0.400
Ga 0.250 0.674 0.995
Ga 0.250 0.162 0.864
Ga 0.750 0.943 0.600
Ga 0.250 0.662 0.636
Ga 0.750 0.338 0.364
Ga 0.750 0.826 0.495
Ga 0.750 0.326 0.005

Summary:
For the total energy, the calculation gives -3.441 eV per atom. Its symmetry is Pnma, No. 62.

---

Compound: Ga12Te3Cl5
Source: Alexandria via LeMat-Bulk
Functional: PBE-GGA
Structure: optimized geometry

a = 15.321 Å, b = 15.321 Å, c = 15.321 Å
α = 109.47°, β = 109.47°, γ = 109.47°
Fractional coordinates of all 80 atoms:
Ga 0.410 0.055 0.335
Ga 0.646 0.590 0.926
Ga 0.590 0.945 0.665
Ga 0.354 0.945 0.780
Ga 0.835 0.910 0.055
Ga 0.090 0.926 0.146
Ga 0.280 0.854 0.945
Ga 0.074 0.910 0.354
Ga 0.146 0.720 0.555
Ga 0.090 0.165 0.445
Ga 0.445 0.780 0.854
Ga 0.055 0.646 0.720
Ga 0.220 0.555 0.646
Ga 0.055 0.410 0.835
Ga 0.165 0.074 0.720
Ga 0.220 0.665 0.074
Ga 0.780 0.335 0.926
Ga 0.555 0.220 0.146
Ga 0.335 0.555 0.410
Ga 0.335 0.780 0.426
Ga 0.574 0.720 0.665
Ga 0.945 0.354 0.280
Ga 0.445 0.665 0.090
Ga 0.410 0.354 0.574
Ga 0.945 0.590 0.165
Ga 0.926 0.090 0.646
Ga 0.646 0.055 0.220
Ga 0.720 0.146 0.055
Ga 0.574 0.854 0.410
Ga 0.665 0.220 0.574
Ga 0.926 0.835 0.780
Ga 0.074 0.165 0.220
Ga 0.354 0.410 0.074
Ga 0.910 0.835 0.555
Ga 0.854 0.280 0.445
Ga 0.720 0.574 0.165
Ga 0.665 0.445 0.590
Ga 0.555 0.335 0.910
Ga 0.854 0.574 0.910
Ga 0.835 0.926 0.280
Ga 0.910 0.074 0.854
Ga 0.780 0.445 0.354
Ga 0.426 0.280 0.335
Ga 0.426 0.146 0.590
Ga 0.280 0.426 0.835
Ga 0.165 0.090 0.945
Ga 0.146 0.426 0.090
Ga 0.590 0.646 0.426
Cl 0.125 0.750 0.375
Cl 0.000 0.500 0.500
Cl 0.500 0.000 0.000
Cl 0.000 0.000 0.500
Cl 0.000 0.000 0.000
Cl 0.250 0.375 0.625
Cl 0.000 0.500 0.000
Cl 0.250 0.875 0.125
Cl 0.125 0.375 0.250
Cl 0.375 0.250 0.125
Cl 0.750 0.125 0.875
Cl 0.625 0.875 0.250
Cl 0.750 0.625 0.375
Cl 0.500 0.000 0.500
Cl 0.500 0.500 0.000
Cl 0.375 0.125 0.750
Cl 0.500 0.500 0.500
Cl 0.625 0.750 0.875
Cl 0.875 0.250 0.625
Cl 0.875 0.625 0.750
Te 0.875 0.750 0.125
Te 0.375 0.750 0.625
Te 0.375 0.625 0.250
Te 0.250 0.125 0.375
Te 0.125 0.250 0.875
Te 0.875 0.125 0.250
Te 0.625 0.375 0.750
Te 0.750 0.875 0.625
Te 0.750 0.375 0.125
Te 0.125 0.875 0.750
Te 0.250 0.625 0.875
Te 0.625 0.250 0.375

Summary:
For the total energy, the calculation gives -2.928 eV per atom. Its symmetry is Ia-3d, No. 230.

---

| no. | density (g cm⁻³) |
| --- | --- |
| 1 | 2.79 |
| 2 | 5.22 |
| 3 | 4.51 |
| 4 | 3.35 |